Material: Ba2MgCo2O6
Method: DFT, PBE with a Hubbard U
State: relaxed

Cell lengths 6.532, 6.532, 6.532 Å; angles 53.89, 53.89, 53.89 degrees
Positions (direct):
Ba 0.219 0.219 0.219
Ba 0.781 0.781 0.781
Mg 0.000 0.000 0.000
Co 0.417 0.417 0.417
Co 0.583 0.583 0.583
O 0.241 0.241 0.759
O 0.241 0.759 0.241
O 0.241 0.759 0.759
O 0.759 0.241 0.241
O 0.759 0.241 0.759
O 0.759 0.759 0.241

- Space-group type: No. 166
- Uncorrected energy: -5.997 eV/atom